TmTaTiO6 | Alexandria via LeMat-Bulk | meta-GGA SCAN | PBEsol geometry; total DFT energy (no corrections) = -22.59 eV/atom; total magnetic moment = 0.0 μB per formula unit
1.0
5.1347 0.0000 0.0000
0.0000 14.5472 0.0000
-0.0277 0.0000 5.4820
Tm Ta Ti O
4 4 4 24
direct
0.2465 0.0002 0.2323 Tm
0.2465 0.4998 0.7323 Tm
0.7535 0.9998 0.7677 Tm
0.7535 0.5002 0.2677 Tm
0.3230 0.1677 0.6790 Ta
0.3230 0.3323 0.1790 Ta
0.6770 0.6677 0.8210 Ta
0.6770 0.8323 0.3210 Ta
0.1809 0.6634 0.1892 Ti
0.1809 0.8366 0.6892 Ti
0.8191 0.1634 0.3108 Ti
0.8191 0.3366 0.8108 Ti
0.0340 0.0900 0.5598 O
0.0340 0.4100 0.0598 O
0.0784 0.5853 0.4166 O
0.0784 0.9147 0.9166 O
0.1489 0.2387 0.3683 O
0.1489 0.2613 0.8683 O
0.3536 0.7414 0.8654 O
0.3536 0.7586 0.3654 O
0.4214 0.0834 0.9155 O
0.4214 0.4166 0.4155 O
0.4650 0.5907 0.0668 O
0.4650 0.9093 0.5668 O
0.5350 0.0907 0.4332 O
0.5350 0.4093 0.9332 O
0.5786 0.5834 0.5845 O
0.5786 0.9166 0.0845 O
0.6464 0.2414 0.6346 O
0.6464 0.2586 0.1346 O
0.8511 0.7387 0.1317 O
0.8511 0.7613 0.6317 O
0.9216 0.0853 0.0834 O
0.9216 0.4147 0.5834 O
0.9660 0.5900 0.9402 O
0.9660 0.9100 0.4402 O

AgIrI2O | Alexandria via LeMat-Bulk | meta-GGA SCAN | PBEsol geometry; total DFT energy (no corrections) = -36.44 eV/atom; relative energy among the computed polymorphs = 0 kJ/mol of formula units; total magnetic moment = 0.0 μB per formula unit
1.0
5.5724 0.0000 0.0000
0.0000 5.5724 0.0000
0.0000 0.0000 3.6960
Ag Ir I O
1 1 2 1
direct
0.0000 0.0000 0.0000 Ag
0.5000 0.5000 0.5000 Ir
0.0000 0.5000 0.5000 I
0.5000 0.0000 0.5000 I
0.5000 0.5000 0.0000 O

LiIn2Os | Alexandria via LeMat-Bulk | meta-GGA SCAN | PBEsol geometry; total DFT energy (no corrections) = -35.03 eV/atom; total magnetic moment = 0.0 μB per formula unit; energy relative to the elements = 0.231 eV/atom
1.0
1.5251 0.8805 9.0103
-1.5251 0.8805 9.0103
0.0000 -1.7611 9.0103
Li In Os
1 2 1
direct
0.0000 0.0000 0.0000 Li
0.2467 0.2467 0.2467 In
0.7533 0.7533 0.7533 In
0.5000 0.5000 0.5000 Os

LiCaIr2 | Alexandria via LeMat-Bulk | meta-GGA SCAN | PBEsol geometry; total DFT energy (no corrections) = -38.69 eV/atom; relative energy among the computed polymorphs = 26 kJ/mol of formula units; total magnetic moment = 0.0 μB per formula unit; energy relative to the elements = -0.127 eV/atom
1.0
2.8700 0.0000 0.0000
0.0000 4.5400 0.0000
0.0000 0.0000 4.8092
Li Ca Ir
1 1 2
direct
0.0000 0.0000 0.0000 Li
0.5000 0.5000 0.8398 Ca
0.0000 0.5000 0.3408 Ir
0.5000 0.0000 0.4366 Ir

SnSbRhAu2 | Alexandria via LeMat-Bulk | meta-GGA SCAN | PBEsol geometry; total DFT energy (no corrections) = -47.94 eV/atom; total magnetic moment = 1.3 μB per formula unit
1.0
4.9452 0.0000 0.0000
0.0000 4.9452 0.0000
0.0000 0.0000 5.5402
Sn Sb Rh Au
1 1 1 2
direct
0.0000 0.0000 0.0000 Sn
0.0000 0.0000 0.5000 Sb
0.5000 0.5000 0.5000 Rh
0.0000 0.5000 0.0000 Au
0.5000 0.0000 0.0000 Au

YCu2Ge2 | Alexandria via LeMat-Bulk | meta-GGA SCAN | PBEsol geometry; total DFT energy (no corrections) = -19.90 eV/atom; total magnetic moment = 0.0 μB per formula unit; energy relative to the elements = -0.614 eV/atom
1.0
-1.9968 1.9968 5.0991
1.9968 -1.9968 5.0991
1.9968 1.9968 -5.0991
Y Cu Ge
1 2 2
direct
0.0000 0.0000 0.0000 Y
0.2500 0.7500 0.5000 Cu
0.7500 0.2500 0.5000 Cu
0.3806 0.3806 0.0000 Ge
0.6194 0.6194 0.0000 Ge

ScIn2Hg | Alexandria via LeMat-Bulk | meta-GGA SCAN | PBEsol geometry; total DFT energy (no corrections) = -37.72 eV/atom; total magnetic moment = 0.0 μB per formula unit; energy relative to the elements = -0.424 eV/atom
1.0
4.4180 0.0000 0.0000
0.0000 4.4180 0.0000
0.0000 0.0000 4.3492
Sc In Hg
1 2 1
direct
0.0000 0.0000 0.0000 Sc
0.0000 0.5000 0.5000 In
0.5000 0.0000 0.5000 In
0.5000 0.5000 0.0000 Hg

ReNi2Os | Alexandria via LeMat-Bulk | meta-GGA SCAN | PBEsol geometry; total DFT energy (no corrections) = -43.82 eV/atom; relative energy among the computed polymorphs = 0 kJ/mol of formula units; total magnetic moment = 0.0 μB per formula unit; energy relative to the elements = 0.012 eV/atom
1.0
-1.8337 1.8337 3.6759
1.8337 -1.8337 3.6759
1.8337 1.8337 -3.6759
Re Ni Os
1 2 1
direct
0.0000 0.0000 0.0000 Re
0.2500 0.7500 0.5000 Ni
0.5000 0.5000 0.0000 Ni
0.7500 0.2500 0.5000 Os